First-principles (PBE) data for crystalline NiWCl2 at its relaxed geometry, as listed in the Alexandria database.

Unit cell a=3.116 b=3.141 c=8.020 alpha=90.00 beta=100.69 gamma=90.00
Sites, in units of the cell vectors:
Ni: 0.000 0.000 0.000
W: 0.578 0.500 0.163
Cl: 0.423 0.500 0.841
Cl: 0.688 0.000 0.395

Output
Space group: Pm
Energy above the most stable polymorph in this dataset: 0.0 kJ/mol of formula units
Density of states at the Fermi level: 1.314 states/eV per cell
ρ: 6748 kg/m3
Total magnetic moment: 0.00 μB/atom

***

First-principles (PBE) data for crystalline NiWCl2 at its relaxed geometry, as listed in the Alexandria database.

Unit cell a=4.458 b=4.458 c=4.458 alpha=105.39 beta=105.39 gamma=117.98
Sites, in units of the cell vectors:
Ni: 0.000 0.000 0.000
W: 0.250 0.750 0.500
Cl: 0.500 0.500 0.000
Cl: 0.750 0.250 0.500

Output
Space group: I-4m2
Energy above the most stable polymorph in this dataset: 420.3 kJ/mol of formula units
Density of states at the Fermi level: 3.078 states/eV per cell
ρ: 7761 kg/m3
Total magnetic moment: 0.33 μB/atom

***

First-principles (PBE) data for crystalline NiW2Cl at its relaxed geometry, as listed in the Alexandria database.

Unit cell a=5.278 b=5.278 c=5.278 alpha=148.02 beta=128.77 gamma=61.68
Sites, in units of the cell vectors:
Ni: 0.000 0.000 0.000
W: 0.268 0.768 0.500
W: 0.732 0.232 0.500
Cl: 0.500 0.500 0.000

Output
Space group: Immm
Energy above the most stable polymorph in this dataset: 194.1 kJ/mol of formula units
Density of states at the Fermi level: 4.120 states/eV per cell
ρ: 12750 kg/m3
Total magnetic moment: 0.00 μB/atom

***

Q: The lowest energy above the most stable polymorph in this dataset belongs to which entry?
A: number 1